Record 1
A plane-wave DFT calculation with PBE-GGA was carried out for a geometry-optimized Pm3Pr2Tm6 structure.

a = 16.894 Å, b = 16.894 Å, c = 16.894 Å
α = 163.82°, β = 163.82°, γ = 22.96°
Fractional coordinates of all 11 atoms:
Pm 0.000 0.000 0.000
Pm 0.205 0.205 0.000
Pm 0.795 0.795 0.000
Pr 0.453 0.453 0.000
Pr 0.547 0.547 0.000
Tm 0.122 0.622 0.500
Tm 0.308 0.308 0.000
Tm 0.378 0.878 0.500
Tm 0.622 0.122 0.500
Tm 0.692 0.692 0.000
Tm 0.878 0.378 0.500

Values from the calculation:
V	374	Å³ per cell
relative energy among the computed polymorphs	0.074	eV per atom
E_form	0.258	eV per atom
final energy	-4.345	eV/atom

Record 2
A plane-wave DFT calculation with PBE-GGA was carried out for a geometry-optimized YGa4Pd structure.

a = 3.453 Å, b = 3.454 Å, c = 9.446 Å
α = 89.59°, β = 89.44°, γ = 82.79°
Fractional coordinates of all 6 atoms:
Y 0.000 0.000 0.000
Ga 0.030 0.030 0.645
Ga 0.487 0.488 0.209
Ga 0.513 0.512 0.791
Ga 0.970 0.970 0.355
Pd 0.500 0.500 0.500

Values from the calculation:
V	112	Å³ per cell
E_form	-0.403	eV per atom
final energy	-4.364	eV/atom

Record 3
A plane-wave DFT calculation with PBE-GGA was carried out for a geometry-optimized Ba2NaAu2O6 structure.

a = 7.233 Å, b = 7.233 Å, c = 7.233 Å
α = 49.89°, β = 49.89°, γ = 49.89°
Fractional coordinates of all 11 atoms:
Ba 0.213 0.213 0.213
Ba 0.787 0.787 0.787
Na 0.000 0.000 0.000
Au 0.420 0.420 0.420
Au 0.580 0.580 0.580
O 0.200 0.760 0.760
O 0.240 0.240 0.800
O 0.240 0.800 0.240
O 0.760 0.200 0.760
O 0.760 0.760 0.200
O 0.800 0.240 0.240

Values from the calculation:
formation energy (no corrections)	-0.967	eV per atom
V	204	Å³ per cell
final energy	-4.737	eV/atom

Record 4
A plane-wave DFT calculation with PBE-GGA was carried out for a geometry-optimized LiHo2ThTl4 structure.

a = 9.479 Å, b = 9.479 Å, c = 9.479 Å
α = 32.20°, β = 32.20°, γ = 32.20°
Fractional coordinates of all 8 atoms:
Li 0.000 0.000 0.000
Ho 0.254 0.254 0.254
Ho 0.746 0.746 0.746
Th 0.500 0.500 0.500
Tl 0.120 0.120 0.120
Tl 0.371 0.371 0.371
Tl 0.629 0.629 0.629
Tl 0.880 0.880 0.880

Values from the calculation:
V	215	Å³ per cell
E_form	-0.249	eV per atom
final energy	-3.743	eV/atom

Record 5
A plane-wave DFT calculation with PBE-GGA was carried out for a geometry-optimized Pm2SmTm2Sc2 structure.

a = 5.936 Å, b = 5.936 Å, c = 11.561 Å
α = 107.70°, β = 107.70°, γ = 33.58°
Fractional coordinates of all 7 atoms:
Pm 0.174 0.174 0.089
Pm 0.826 0.826 0.911
Sm 0.500 0.500 0.500
Tm 0.045 0.045 0.769
Tm 0.955 0.955 0.231
Sc 0.272 0.272 0.632
Sc 0.728 0.728 0.368

Values from the calculation:
V	214	Å³ per cell
E_form	0.110	eV per atom
final energy	-5.008	eV/atom

Record 6
A plane-wave DFT calculation with PBE-GGA was carried out for a geometry-optimized Ti3MnPt12 structure.

a = 3.943 Å, b = 3.943 Å, c = 15.788 Å
α = 90.00°, β = 90.00°, γ = 90.00°
Fractional coordinates of all 16 atoms:
Ti 0.000 0.000 0.000
Ti 0.000 0.000 0.255
Ti 0.000 0.000 0.745
Mn 0.000 0.000 0.500
Pt 0.000 0.500 0.124
Pt 0.000 0.500 0.372
Pt 0.000 0.500 0.628
Pt 0.000 0.500 0.876
Pt 0.500 0.000 0.124
Pt 0.500 0.000 0.372
Pt 0.500 0.000 0.628
Pt 0.500 0.000 0.876
Pt 0.500 0.500 0.000
Pt 0.500 0.500 0.249
Pt 0.500 0.500 0.500
Pt 0.500 0.500 0.751

Values from the calculation:
V	245	Å³ per cell
E_form	-0.765	eV per atom
final energy	-7.349	eV/atom

Record 7
A plane-wave DFT calculation with PBE-GGA was carried out for a geometry-optimized FeSNCl2 structure.

a = 4.203 Å, b = 4.203 Å, c = 4.550 Å
α = 90.00°, β = 90.00°, γ = 90.00°
Fractional coordinates of all 5 atoms:
Fe 0.000 0.000 0.000
S 0.500 0.500 0.000
N 0.500 0.500 0.500
Cl 0.000 0.500 0.500
Cl 0.500 0.000 0.500

Values from the calculation:
formation energy (no corrections)	1.170	eV per atom
V	80	Å³ per cell
relative energy among the computed polymorphs	0.000	eV per atom
final energy	-3.752	eV/atom

Record 8
A plane-wave DFT calculation with PBE-GGA was carried out for a geometry-optimized AcEr2Th structure.

a = 11.951 Å, b = 11.951 Å, c = 11.951 Å
α = 17.62°, β = 17.62°, γ = 17.62°
Fractional coordinates of all 4 atoms:
Ac 0.000 0.000 0.000
Er 0.578 0.578 0.578
Er 0.755 0.755 0.755
Th 0.166 0.166 0.166

Values from the calculation:
V	137	Å³ per cell
relative energy among the computed polymorphs	0.027	eV per atom
E_form	0.066	eV per atom
final energy	-5.097	eV/atom

Repeat the eighth record exactly.
A plane-wave DFT calculation with PBE-GGA was carried out for a geometry-optimized AcEr2Th structure.

a = 11.951 Å, b = 11.951 Å, c = 11.951 Å
α = 17.62°, β = 17.62°, γ = 17.62°
Fractional coordinates of all 4 atoms:
Ac 0.000 0.000 0.000
Er 0.578 0.578 0.578
Er 0.755 0.755 0.755
Th 0.166 0.166 0.166

Values from the calculation:
V	137	Å³ per cell
relative energy among the computed polymorphs	0.027	eV per atom
E_form	0.066	eV per atom
final energy	-5.097	eV/atom